1.
Entry from Alexandria via LeMat-Bulk: a relaxed RbCdAu4 crystal (PBE).

The structure belongs to space group F-43m (No. 216); the cell edges are 8.152, 8.152 and 8.152 Å and the angles 90.00°, 90.00° and 90.00°. The asymmetric unit holds Rb at (0.000, 0.000, 0.000), Cd at (0.250, 0.250, 0.750) and Au at (0.124, 0.124, 0.376).

2.
Entry from Alexandria via LeMat-Bulk: a relaxed BaAlV2 crystal (PBE).

The structure belongs to space group I4_1/amd (No. 141, origin choice 2); the cell edges are 4.613, 4.613 and 19.500 Å and the angles 90.00°, 90.00° and 90.00°. The asymmetric unit holds Ba at (0.000, 0.250, 0.375), Al at (0.000, 0.250, 0.875) and V at (0.000, 0.000, 0.000).

3.
Entry from Alexandria via LeMat-Bulk: a relaxed MgFe3Mo crystal (PBE).

The structure belongs to space group Pm-3m (No. 221); the cell edges are 4.491, 4.491 and 4.491 Å and the angles 90.00°, 90.00° and 90.00°. The asymmetric unit holds Mg at (0.000, 0.000, 0.000), Fe at (0.000, 0.500, 0.500) and Mo at (0.500, 0.500, 0.500).

4.
Entry from Alexandria via LeMat-Bulk: a relaxed Sm2Tm2Hg7 crystal (PBE).

The structure belongs to space group Cmmm (No. 65); the cell edges are 7.229, 11.349 and 7.803 Å and the angles 90.00°, 90.00° and 90.00°. The asymmetric unit holds Sm at (0.245, 0.000, 0.000), Tm at (0.000, 0.265, 0.500), Hg at (0.000, 0.000, 0.500), Hg at (0.000, 0.500, 0.313) and Hg at (0.250, 0.250, 0.190).

Asked for calculated formation energy across the records above, the calculation gives -0.1034 0.8315 1.2157 -0.1403 eV per atom in order.
Asked for calculated total energy across the records above, the calculation gives -62.45 -82.31 -31.74 -44.07 eV per cell in order.